Record 1
A geometry-optimized CoAgSb2 structure. Source: Alexandria, functional PBE-GGA.

Geometry as POSCAR:
```
CoAgSb2
1.0
0.000 3.469 3.469
3.469 0.000 3.469
3.469 3.469 0.000
Co Ag Sb
1 1 2
direct
0.000 0.000 0.000
0.250 0.250 0.250
0.500 0.500 0.500
0.750 0.750 0.750
```

## Properties
Its total energy is -15.84 eV per formula unit. The value obtained for the uncorrected formation energy is 591 meV per atom. The density of states at the Fermi level comes out at 1.27 states/eV per atom. As for the crystal system: cubic. Its magnetization is 0.30 μB per atom. The space group is F-43m, No. 216.


Record 2
A geometry-optimized SrCo2AgSb structure. Source: Alexandria, functional PBE-GGA.

Geometry as POSCAR:
```
SrCo2AgSb
1.0
4.815 0.000 0.000
0.000 4.815 0.000
0.000 0.000 6.244
Sr Co Ag Sb
1 2 1 1
direct
0.000 0.000 0.000
0.000 0.500 0.500
0.500 0.000 0.500
0.500 0.500 0.000
0.000 0.000 0.500
```

## Properties
Its total energy is -19.42 eV per formula unit. The value obtained for the uncorrected formation energy is 690 meV per atom. The density of states at the Fermi level comes out at 0.20 states/eV per atom. As for the crystal system: tetragonal. Its magnetization is 0.78 μB per atom. The space group is P4/mmm, No. 123.